A relaxed structure of LiMg3Ag. Source: Alexandria, functional PBE.

a = 4.748 Å, b = 17.288 Å, c = 4.733 Å
α = 90.00°, β = 90.00°, γ = 90.00°
Space group Cmcm (No. 63)
One atom of each set of equivalent atoms:
Li (0.000, 0.156, 0.250) (multiplicity 4)
Mg (0.000, 0.060, 0.750) (multiplicity 4)
Mg (0.000, 0.250, 0.750) (multiplicity 4)
Mg (0.000, 0.441, 0.750) (multiplicity 4)
Ag (0.000, 0.346, 0.250) (multiplicity 4)

Values from the calculation:
- Formation enthalpy at 0 K: -0.167 eV per atom
- E: -2.08 eV/atom
- Spin magnetization: 0.000 μB per formula unit

=====

A relaxed structure of CsPRuC2. Source: Alexandria, functional PBE.

a = 3.947 Å, b = 3.947 Å, c = 4.865 Å
α = 90.00°, β = 90.00°, γ = 90.00°
Space group P4/mmm (No. 123)
One atom of each set of equivalent atoms:
Cs (0.000, 0.000, 0.000) (multiplicity 1)
P (0.500, 0.500, 0.500) (multiplicity 1)
Ru (0.500, 0.500, 0.000) (multiplicity 1)
C (0.000, 0.500, 0.500) (multiplicity 2)

Values from the calculation:
- Formation enthalpy at 0 K: 2.084 eV per atom
- E: -4.71 eV/atom
- Spin magnetization: 0.000 μB per formula unit

=====

A relaxed structure of LiTm3In3Rh2. Source: Alexandria, functional PBE.

a = 7.6996 Å, b = 7.6996 Å, c = 3.6482 Å
α = 90.00°, β = 90.00°, γ = 120.00°
Space group P-62m (No. 189)
One atom of each set of equivalent atoms:
Li (0.0000, 0.0000, 0.0000) (multiplicity 1)
Tm (0.0000, 0.4152, 0.0000) (multiplicity 3)
In (0.0000, 0.7422, 0.5000) (multiplicity 3)
Rh (0.3333, 0.6667, 0.5000) (multiplicity 2)

Values from the calculation:
- Formation enthalpy at 0 K: -0.646 eV per atom
- E: -4.90 eV/atom
- Spin magnetization: 0.000 μB per formula unit

=====

A relaxed structure of BaCo3Ag. Source: Alexandria, functional PBE.

a = 4.882 Å, b = 4.882 Å, c = 4.882 Å
α = 90.00°, β = 90.00°, γ = 90.00°
Space group Pm-3m (No. 221)
One atom of each set of equivalent atoms:
Ba (0.000, 0.000, 0.000) (multiplicity 1)
Co (0.000, 0.500, 0.500) (multiplicity 3)
Ag (0.500, 0.500, 0.500) (multiplicity 1)

Values from the calculation:
- Formation enthalpy at 0 K: 1.095 eV per atom
- E: -4.12 eV/atom
- Spin magnetization: 5.629 μB per formula unit

=====

A relaxed structure of Pm2MgCu4Si3. Source: Alexandria, functional PBE.

a = 4.105 Å, b = 4.105 Å, c = 10.215 Å
α = 90.00°, β = 90.00°, γ = 90.00°
Space group P-4m2 (No. 115)
One atom of each set of equivalent atoms:
Pm (0.000, 0.500, 0.234) (multiplicity 2)
Mg (0.000, 0.000, 0.500) (multiplicity 1)
Cu (0.000, 0.000, 0.000) (multiplicity 1)
Cu (0.000, 0.500, 0.643) (multiplicity 2)
Cu (0.500, 0.500, 0.000) (multiplicity 1)
Si (0.000, 0.500, 0.872) (multiplicity 2)
Si (0.500, 0.500, 0.500) (multiplicity 1)

Values from the calculation:
- E: -4.86 eV/atom
- Spin magnetization: 0.000 μB per formula unit
- Formation energy without anion corrections: -0.489 eV/atom

=====

A relaxed structure of Ba2SmGaTe5. Source: Alexandria, functional PBE.

a = 4.537 Å, b = 20.726 Å, c = 14.250 Å
α = 90.00°, β = 90.00°, γ = 90.00°
Space group Cmc2_1 (No. 36)
One atom of each set of equivalent atoms:
Ba (0.000, 0.121, 0.000) (multiplicity 4)
Ba (0.000, 0.125, 0.637) (multiplicity 4)
Sm (0.000, 0.206, 0.338) (multiplicity 4)
Ga (0.000, 0.438, 0.745) (multiplicity 4)
Te (0.000, 0.047, 0.354) (multiplicity 4)
Te (0.000, 0.295, 0.986) (multiplicity 4)
Te (0.000, 0.314, 0.682) (multiplicity 4)
Te (0.000, 0.353, 0.320) (multiplicity 4)
Te (0.000, 0.500, 0.084) (multiplicity 4)

Values from the calculation:
- E: -4.34 eV/atom
- Spin magnetization: 0.000 μB per formula unit
- Formation energy without anion corrections: -1.304 eV/atom

=====

A relaxed structure of Na2InSe2O6. Source: Alexandria, functional PBE.

a = 5.8061 Å, b = 5.8061 Å, c = 6.1498 Å
α = 90.00°, β = 90.00°, γ = 120.00°
Space group P-3 (No. 147)
One atom of each set of equivalent atoms:
Na (0.3333, 0.6667, 0.3963) (multiplicity 2)
In (0.0000, 0.0000, 0.0000) (multiplicity 1)
Se (0.3333, 0.6667, 0.8869) (multiplicity 2)
O (0.0898, 0.7096, 0.7597) (multiplicity 6)

Values from the calculation:
- E: -4.96 eV/atom
- Spin magnetization: 0.000 μB per formula unit
- Formation energy without anion corrections: -1.133 eV/atom

=====

A relaxed structure of CoW2Se. Source: Alexandria, functional PBE.

a = 3.078 Å, b = 4.444 Å, c = 8.774 Å
α = 90.00°, β = 90.00°, γ = 90.00°
Space group Immm (No. 71)
One atom of each set of equivalent atoms:
Co (0.000, 0.000, 0.000) (multiplicity 2)
W (0.000, 0.500, 0.234) (multiplicity 4)
Se (0.000, 0.000, 0.500) (multiplicity 2)

Values from the calculation:
- E: -8.62 eV/atom
- Spin magnetization: 0.740 μB per formula unit
- Formation energy without anion corrections: 0.502 eV/atom

=====

Question: Among the records above, which one has the highest spin magnetization?
Answer: BaCo3Ag

=====

Repeat the sixth record exactly.
A relaxed structure of Ba2SmGaTe5. Source: Alexandria, functional PBE.

a = 4.537 Å, b = 20.726 Å, c = 14.250 Å
α = 90.00°, β = 90.00°, γ = 90.00°
Space group Cmc2_1 (No. 36)
One atom of each set of equivalent atoms:
Ba (0.000, 0.121, 0.000) (multiplicity 4)
Ba (0.000, 0.125, 0.637) (multiplicity 4)
Sm (0.000, 0.206, 0.338) (multiplicity 4)
Ga (0.000, 0.438, 0.745) (multiplicity 4)
Te (0.000, 0.047, 0.354) (multiplicity 4)
Te (0.000, 0.295, 0.986) (multiplicity 4)
Te (0.000, 0.314, 0.682) (multiplicity 4)
Te (0.000, 0.353, 0.320) (multiplicity 4)
Te (0.000, 0.500, 0.084) (multiplicity 4)

Values from the calculation:
- E: -4.34 eV/atom
- Spin magnetization: 0.000 μB per formula unit
- Formation energy without anion corrections: -1.304 eV/atom

=====

Question: Which value of spin magnetization does entry 4 give?
Answer: 5.629 μB per formula unit

=====

Question: spin magnetization of number 7 (Na2InSe2O6)?
Answer: 0.000 μB per formula unit